Here is a relaxed Al2ZnAg4 crystal from Alexandria. Energies are from PBE. Values from VASP.

Quantum ESPRESSO input file:
```
&SYSTEM
  ibrav = 0, nat = 28, ntyp = 3
/
ATOMIC_SPECIES
Al 26.98 Al.upf
Zn 65.41 Zn.upf
Ag 107.87 Ag.upf
ATOMIC_POSITIONS angstrom
Al 9.653 6.190 6.190
Al 3.022 3.022 3.022
Al 6.484 6.484 3.022
Al 6.484 3.022 6.484
Al 6.190 9.653 6.190
Al 6.190 6.190 9.653
Al 9.653 9.653 9.653
Al 3.022 6.484 6.484
Zn 6.337 3.169 3.169
Zn 3.169 6.337 3.169
Zn 3.169 3.169 6.337
Zn 6.337 6.337 6.337
Ag 0.000 0.000 0.000
Ag 3.169 3.169 0.000
Ag 3.169 0.000 3.169
Ag 4.753 4.753 1.723
Ag 4.753 1.723 4.753
Ag 7.783 4.753 4.753
Ag 7.922 7.922 4.892
Ag 7.922 4.892 7.922
Ag 10.951 7.922 7.922
Ag 0.000 3.169 3.169
Ag 1.723 4.753 4.753
Ag 4.753 7.783 4.753
Ag 4.753 4.753 7.783
Ag 4.892 7.922 7.922
Ag 7.922 10.951 7.922
Ag 7.922 7.922 10.951
CELL_PARAMETERS angstrom
0.000 6.337 6.337
6.337 0.000 6.337
6.337 6.337 0.000
```

## Properties
* calculated formation energy: 0.40 eV per formula unit
* raw total energy: -79.047 eV/cell
* N(E_F): 0.3754 states/eV/atom